The following is a DFT calculation (PBE+U) of NaFeF3 after structural relaxation.

magnetic moment: 4.0 μB/f.u.
total DFT energy (no corrections): -5.090 eV/atom

abc: 5.853 5.666 9.749
angles: 106.98 90.00 121.10
Last column: magnetic moment on the atom in μB.
Fractional coordinates of all 20 atoms:
F  0.345  0.689  0.661  0.04
F  0.156  0.311  0.838  0.04
F  0.655  0.311  0.339  0.04
F  0.845  0.689  0.662  0.04
F  0.344  0.689  0.161  0.04
F  0.684  0.869  0.942  0.04
F  0.185  0.869  0.442  0.04
F  0.844  0.689  0.162  0.04
F  0.815  0.131  0.558  0.04
F  0.656  0.311  0.839  0.04
F  0.316  0.131  0.058  0.04
F  0.155  0.311  0.338  0.04
Na  0.109  0.715  0.858  0.00
Na  0.394  0.285  0.642  0.00
Na  0.606  0.715  0.358  0.00
Na  0.891  0.285  0.142  0.00
Fe  0.751  0.000  0.750  3.80
Fe  0.000  0.500  0.500  3.82
Fe  0.249  0.000  0.250  3.80
Fe  0.500  0.500  0.000  3.82